# 1
Entry from OQMD: a geometry-optimized LuSc2Pb structure (PBE).

extended XYZ file:
```
4
Lattice="0.000 3.669 3.669 3.669 0.000 3.669 3.669 3.669 0.000" Properties=species:S:1:pos:R:3 pbc="T T T"
Lu 1.834 1.834 1.834
Pb 3.669 3.669 3.669
Sc 0.000 0.000 0.000
Sc 5.503 5.503 5.503
```

Space group   F-43m (216)
E_tot   -5.29 eV per atom
Total magnetic moment   1.511 μB per formula unit

---

# 2
Entry from OQMD: a geometry-optimized DyCuTe3Pb structure (PBE).

extended XYZ file:
```
24
Lattice="11.267 0.000 0.000 0.000 4.295 0.000 0.000 0.000 14.586" Properties=species:S:1:pos:R:3 pbc="T T T"
Cu 2.721 3.221 3.236
Cu 8.355 3.221 4.057
Cu 2.912 1.074 10.529
Cu 8.546 1.074 11.350
Dy 5.364 1.074 3.539
Dy 10.998 1.074 3.754
Dy 0.269 3.221 10.832
Dy 5.903 3.221 11.047
Pb 2.464 1.074 0.121
Pb 8.098 1.074 7.172
Pb 3.169 3.221 7.415
Pb 8.803 3.221 14.465
Te 4.662 3.221 1.480
Te 0.519 3.221 1.653
Te 8.241 1.074 2.437
Te 2.607 1.074 4.856
Te 6.153 3.221 5.640
Te 10.295 3.221 5.813
Te 0.972 1.074 8.773
Te 5.114 1.074 8.946
Te 8.660 3.221 9.730
Te 3.026 3.221 12.149
Te 10.748 1.074 12.933
Te 6.605 1.074 13.106
```

Space group   Pnma (62)
Energy above the most stable polymorph in this dataset   0 meV per atom
Total magnetic moment   0.001 μB per formula unit

---

# 3
Entry from OQMD: a geometry-optimized PmYAl structure (PBE).

extended XYZ file:
```
3
Lattice="0.000 3.605 3.605 3.605 0.000 3.605 3.605 3.605 0.000" Properties=species:S:1:pos:R:3 pbc="T T T"
Al 1.803 1.803 1.803
Pm 5.408 5.408 5.408
Y 0.000 0.000 0.000
```

Space group   F-43m (216)
Energy above the most stable polymorph in this dataset   0 meV per atom
Total magnetic moment   0.904 μB per formula unit

---

# 4
Entry from OQMD: a geometry-optimized Dy2Y3Hg3 structure (PBE).

extended XYZ file:
```
8
Lattice="-6.188 2.227 2.389 0.501 -6.234 -3.138 0.965 -2.224 4.572" Properties=species:S:1:pos:R:3 pbc="T T T"
Dy 0.000 0.000 0.000
Dy -1.246 -4.526 0.990
Hg -1.523 -1.413 2.563
Hg -4.576 -0.314 3.742
Hg -4.329 -3.390 2.194
Y -3.114 1.074 1.180
Y -2.869 -1.971 -0.353
Y -5.892 -0.883 0.814
```

Space group   P-6m2 (187)
Energy of formation   -0.1495 eV per atom
Energy above the most stable polymorph in this dataset   43 meV per atom
Total magnetic moment   1.376 μB per formula unit

---

# 5
Entry from OQMD: a geometry-optimized Sc2Zn2Cu structure (PBE).

extended XYZ file:
```
5
Lattice="-2.028 2.028 6.026 2.028 -2.028 6.026 2.028 2.028 -6.026" Properties=species:S:1:pos:R:3 pbc="T T T"
Cu 0.000 0.000 0.000
Sc 0.000 2.028 3.013
Sc 2.028 0.000 3.013
Zn 0.000 0.000 4.882
Zn 0.000 0.000 7.171
```

Space group   I4/mmm (139)
Energy of formation   0.3051 eV per atom
Total magnetic moment   0.136 μB per formula unit

---

# 6
Entry from OQMD: a geometry-optimized ZnCdCoAu structure (PBE).

extended XYZ file:
```
4
Lattice="4.255 0.675 1.219 0.949 1.347 4.163 1.981 -2.812 2.866" Properties=species:S:1:pos:R:3 pbc="T T T"
Au 1.796 -0.198 2.062
Cd 3.592 -0.395 4.124
Co 5.389 -0.593 6.186
Zn 0.000 0.000 0.000
```

Space group   F-43m (216)
Energy of formation   0.1041 eV per atom
Energy above the most stable polymorph in this dataset   0 meV per atom
Total magnetic moment   1.126 μB per formula unit

---

# 7
Entry from OQMD: a geometry-optimized YBiPtSe3 structure (PBE).

extended XYZ file:
```
12
Lattice="4.050 6.148 -1.717 -4.365 -5.750 -2.244 -8.761 6.138 1.315" Properties=species:S:1:pos:R:3 pbc="T T T"
Bi -0.757 3.983 -1.552
Bi -8.319 2.553 -1.094
Pt -6.075 -3.536 -1.885
Pt -3.002 10.072 -0.761
Se -3.504 -3.836 -2.120
Se -2.899 0.955 -1.686
Se -7.226 -1.229 -1.562
Se -1.850 7.765 -1.085
Se -6.178 5.581 -0.960
Se -5.572 10.373 -0.526
Y -0.158 0.199 -1.981
Y -4.538 3.268 -1.323
```

Space group   Cmcm (63)
E_tot   -5.40 eV per atom
Total magnetic moment   0.004 μB per formula unit

---

# 8
Entry from OQMD: a geometry-optimized Y2TmTl3Ni3 structure (PBE).

extended XYZ file:
```
9
Lattice="-0.345 2.792 -2.471 -7.348 -1.493 -0.661 2.370 4.896 5.202" Properties=species:S:1:pos:R:3 pbc="T T T"
Ni -0.007 0.004 0.006
Ni -4.252 2.044 0.067
Ni -1.059 4.144 1.994
Tl -2.100 1.008 -1.404
Tl 0.443 2.680 0.130
Tl -3.842 3.905 2.112
Tm -2.040 1.395 1.861
Y -4.339 -0.882 -0.390
Y 1.400 2.891 3.072
```

Space group   Amm2 (38)
E_tot   -4.93 eV per atom
Total magnetic moment   0.008 μB per formula unit

---

# 9
Entry from OQMD: a geometry-optimized Nd2Ni structure (PBE).

extended XYZ file:
```
6
Lattice="3.091 2.422 4.736 -1.833 5.331 2.466 -2.534 0.086 5.606" Properties=species:S:1:pos:R:3 pbc="T T T"
Nd 0.470 4.856 5.202
Nd 0.119 2.234 6.772
Nd -2.343 3.688 5.637
Nd -0.797 4.899 8.005
Ni 0.000 0.000 0.000
Ni -0.319 1.960 3.202
```

Space group   Fd-3m (227)
Energy of formation   0.9096 eV per atom
Total magnetic moment   0.015 μB per formula unit

---

# 10
Entry from OQMD: a geometry-optimized Al7W5 structure (PBE).

extended XYZ file:
```
24
Lattice="5.261 0.000 0.000 -2.631 4.556 0.000 0.000 0.000 17.165" Properties=species:S:1:pos:R:3 pbc="T T T"
Al 2.631 0.000 0.000
Al -1.315 2.278 0.000
Al 1.315 2.278 0.000
Al 0.000 0.000 1.844
Al 2.631 1.519 2.790
Al 2.631 1.519 5.792
Al 0.000 0.000 6.739
Al 2.631 0.000 8.583
Al -1.315 2.278 8.583
Al 1.315 2.278 8.583
Al 0.000 0.000 10.426
Al 0.000 3.038 11.373
Al 0.000 3.038 14.375
Al 0.000 0.000 15.321
W 0.000 3.038 2.099
W 0.000 1.475 4.291
W -1.354 3.819 4.291
W 1.354 3.819 4.291
W 0.000 3.038 6.484
W 2.631 1.519 10.681
W 1.277 0.737 12.874
W 3.984 0.737 12.874
W 2.631 3.082 12.874
W 2.631 1.519 15.067
```

Space group   P6_3/mmc (194)
Energy above the most stable polymorph in this dataset   0 meV per atom
Total magnetic moment   0.002 μB per formula unit

---

# 11
Entry from OQMD: a geometry-optimized LiPa structure (PBE).

extended XYZ file:
```
2
Lattice="0.000 3.060 3.060 3.060 0.000 3.060 3.060 3.060 0.000" Properties=species:S:1:pos:R:3 pbc="T T T"
Li 0.000 0.000 0.000
Pa 1.530 1.530 1.530
```

Space group   F-43m (216)
Energy above the most stable polymorph in this dataset   1879 meV per atom
Total magnetic moment   3.545 μB per formula unit

---

# 12
Entry from OQMD: a geometry-optimized In9Pt13 structure (PBE).

extended XYZ file:
```
22
Lattice="0.008 4.475 5.666 -0.008 4.475 -5.666 -7.838 -4.475 0.038" Properties=species:S:1:pos:R:3 pbc="T T T"
In -0.929 4.475 -4.314
In -1.305 4.475 1.380
In -2.424 1.894 -1.319
In -2.417 2.582 4.347
In -3.915 0.000 2.852
In -5.421 1.894 -4.310
In -5.414 2.582 1.356
In -6.533 0.000 -1.342
In -6.909 0.000 4.352
Pt 0.004 2.238 2.833
Pt 0.000 2.226 0.000
Pt -0.004 2.238 -2.833
Pt 0.000 6.725 0.000
Pt -1.398 4.475 -1.507
Pt -2.674 2.148 1.495
Pt -2.682 2.328 -4.171
Pt -3.856 4.475 -0.007
Pt -3.923 0.000 -2.814
Pt -3.982 0.000 0.045
Pt -5.164 2.328 -1.458
Pt -5.156 2.148 4.208
Pt -6.440 0.000 1.544
```

Space group   C2/m (12)
E_tot   -5.14 eV per atom
Total magnetic moment   0.032 μB per formula unit

---

- Among the records above, which one has the highest total magnetic moment?
  LiPa

---

- Which formula does entry 8 have?
  Y2TmTl3Ni3